(1)
The following is a DFT calculation (PBE) of an optimized crystal structure of Th4Sn3N4.

Output
For the formation energy from raw total energies, the calculation gives -1.263 eV per atom.

a b c (Å): 4.072 7.860 8.465
angles (deg): 90.00 90.00 105.01
Element x y z (fractional)
Th1 0.668 0.336 0.759
Th2 0.028 0.056 0.500
Th3 0.668 0.336 0.241
Th4 0.015 0.030 0.000
N1 0.590 0.179 0.000
N2 0.608 0.216 0.500
N3 0.091 0.182 0.246
N4 0.091 0.182 0.754
Sn1 0.364 0.729 0.677
Sn2 0.364 0.729 0.323
Sn3 0.310 0.620 0.000

=====

(2)
The following is a DFT calculation (PBE) of an optimized crystal structure of Th2SnN.

Output
For the formation energy from raw total energies, the calculation gives -0.550 eV per atom.

a b c (Å): 3.570 3.570 9.686
angles (deg): 79.38 79.38 60.00
Last column: magnetic moment on the atom in μB.
Element x y z (fractional)
Th1 0.885 0.885 0.345  0.08
Th2 0.115 0.115 0.655  0.08
N1 0.500 0.500 0.500  0.02
Sn1 0.000 0.000 0.000  -0.01

=====

(3)
The following is a DFT calculation (PBE) of an optimized crystal structure of Th4Sn3N2.

Output
For the formation energy from raw total energies, the calculation gives -0.986 eV per atom.

a b c (Å): 4.137 7.552 8.517
angles (deg): 73.47 75.95 74.10
Element x y z (fractional)
Sn1 0.000 0.000 0.000
Sn2 0.596 0.489 0.320
Sn3 0.404 0.511 0.680
Th1 0.878 0.843 0.401
Th2 0.692 0.745 0.870
Th3 0.122 0.157 0.599
Th4 0.308 0.255 0.130
N1 0.695 0.976 0.635
N2 0.305 0.024 0.365

=====

(4)
The following is a DFT calculation (PBE) of an optimized crystal structure of Th2SnN.

Output
For the formation energy from raw total energies, the calculation gives -1.048 eV per atom.

a b c (Å): 4.706 4.706 9.193
angles (deg): 90.02 90.02 90.00
Element x y z (fractional)
Sn1 0.750 0.750 0.204
Sn2 0.250 0.250 0.796
N1 0.250 0.250 0.411
N2 0.750 0.750 0.589
Th1 0.250 0.750 0.500
Th2 0.250 0.250 0.161
Th3 0.750 0.250 0.500
Th4 0.750 0.750 0.839

=====

(5)
The following is a DFT calculation (PBE) of an optimized crystal structure of Th2SnN.

Output
For the formation energy from raw total energies, the calculation gives -0.474 eV per atom.

a b c (Å): 3.287 3.287 8.021
angles (deg): 90.00 90.00 90.00
Element x y z (fractional)
Sn1 0.500 0.500 0.500
Th1 0.000 0.000 0.802
Th2 0.000 0.000 0.198
N1 0.500 0.500 0.000

=====

(6)
The following is a DFT calculation (PBE) of an optimized crystal structure of Tm4Th2Sn3N2.

Output
For the formation energy from raw total energies, the calculation gives -1.008 eV per atom.

a b c (Å): 4.656 4.656 13.065
angles (deg): 100.26 100.26 90.00
Element x y z (fractional)
N1 0.401 0.401 0.803
N2 0.599 0.599 0.197
Tm1 0.081 0.581 0.162
Tm2 0.919 0.419 0.838
Tm3 0.419 0.919 0.838
Tm4 0.581 0.081 0.162
Sn1 0.000 0.000 0.000
Sn2 0.175 0.175 0.349
Sn3 0.825 0.825 0.651
Th1 0.309 0.309 0.618
Th2 0.691 0.691 0.382

=====

(7)
The following is a DFT calculation (PBE) of an optimized crystal structure of ThZnSnN.

Output
For the formation energy from raw total energies, the calculation gives -0.889 eV per atom.

a b c (Å): 4.087 4.087 10.532
angles (deg): 90.00 90.00 90.00
Element x y z (fractional)
Th1 0.500 0.000 0.109
Th2 0.000 0.500 0.891
Zn1 0.500 0.500 0.500
Zn2 0.000 0.000 0.500
N1 0.000 0.000 0.000
N2 0.500 0.500 0.000
Sn1 0.000 0.500 0.319
Sn2 0.500 0.000 0.681

=====

(8)
The following is a DFT calculation (PBE) of an optimized crystal structure of Th2ZrSnN5.

Output
For the formation energy from raw total energies, the calculation gives -1.081 eV per atom.

a b c (Å): 3.461 7.330 10.656
angles (deg): 90.00 90.00 103.65
Element x y z (fractional)
N1 0.698 0.396 0.860
N2 0.631 0.262 0.519
N3 0.062 0.125 0.060
N4 0.284 0.568 0.649
N5 0.369 0.738 0.019
N6 0.938 0.875 0.560
N7 0.302 0.604 0.360
N8 0.505 0.010 0.280
N9 0.716 0.432 0.149
N10 0.495 0.990 0.780
Zr1 0.221 0.443 0.001
Zr2 0.779 0.557 0.501
Th1 0.861 0.722 0.778
Th2 0.139 0.278 0.278
Th3 0.123 0.246 0.704
Th4 0.877 0.754 0.204
Sn1 0.517 0.034 0.974
Sn2 0.483 0.966 0.474

=====

(9)
The following is a DFT calculation (PBE) of an optimized crystal structure of Ti4SnN.

Output
The excess energy over the best structure of this formula in the dataset comes out at 511.8 meV/atom. For the formation energy from raw total energies, the calculation gives -0.192 eV per atom.

a b c (Å): 5.421 5.421 7.709
angles (deg): 90.00 90.00 93.34
Element x y z (fractional)
Sn1 0.426 0.426 0.750
Sn2 0.574 0.574 0.250
Ti1 0.757 0.757 0.563
Ti2 0.757 0.757 0.937
Ti3 0.243 0.243 0.063
Ti4 0.912 0.283 0.750
Ti5 0.717 0.088 0.250
Ti6 0.283 0.912 0.750
Ti7 0.088 0.717 0.250
Ti8 0.243 0.243 0.437
N1 0.929 0.929 0.750
N2 0.071 0.071 0.250

=====

(10)
The following is a DFT calculation (PBE) of an optimized crystal structure of Ti12Sn6N.

Output
For the formation energy from raw total energies, the calculation gives -0.199 eV per atom.

a b c (Å): 7.348 7.348 7.348
angles (deg): 101.15 101.15 101.15
Last column: magnetic moment on the atom in μB.
Element x y z (fractional)
Sn1 0.109 0.683 0.333  -0.01
Sn2 0.317 0.667 0.891  -0.01
Sn3 0.667 0.891 0.317  -0.01
Sn4 0.891 0.317 0.667  -0.01
Sn5 0.333 0.109 0.683  -0.01
Sn6 0.683 0.333 0.109  -0.01
Ti1 0.293 0.046 0.034  0.16
Ti2 0.034 0.293 0.046  0.16
Ti3 0.402 0.499 0.220  0.39
Ti4 0.220 0.402 0.499  0.39
Ti5 0.046 0.034 0.293  0.16
Ti6 0.707 0.954 0.966  0.16
Ti7 0.499 0.220 0.402  0.39
Ti8 0.954 0.966 0.707  0.16
Ti9 0.598 0.501 0.780  0.39
Ti10 0.780 0.598 0.501  0.39
Ti11 0.966 0.707 0.954  0.16
Ti12 0.501 0.780 0.598  0.39
N1 0.000 0.000 0.000  -0.01

=====

(11)
The following is a DFT calculation (PBE) of an optimized crystal structure of Ti7Sn2N2.

Output
For the formation energy from raw total energies, the calculation gives -0.458 eV per atom.

a b c (Å): 5.739 5.765 5.765
angles (deg): 103.53 93.83 93.83
Element x y z (fractional)
Ti1 0.673 0.842 0.503
Ti2 0.851 0.332 0.332
Ti3 0.149 0.668 0.668
Ti4 0.500 0.000 0.000
Ti5 0.327 0.497 0.158
Ti6 0.673 0.503 0.842
Ti7 0.327 0.158 0.497
Sn1 0.000 0.169 0.831
Sn2 0.000 0.831 0.169
N1 0.485 0.707 0.707
N2 0.515 0.293 0.293

=====

(12)
The following is a DFT calculation (PBE) of an optimized crystal structure of Ti2SnN.

Output
For the formation energy from raw total energies, the calculation gives -0.676 eV per atom.

a b c (Å): 6.274 6.274 5.595
angles (deg): 55.90 55.90 90.00
Element x y z (fractional)
Ti1 0.243 0.625 0.250
Ti2 0.875 0.757 0.750
Ti3 0.507 0.125 0.250
Ti4 0.375 0.493 0.750
Sn1 0.000 0.000 0.000
Sn2 0.750 0.250 0.500
N1 0.500 0.500 0.000
N2 0.250 0.750 0.500

=====

Number 1: V 23.8 Å³/atom, total magnetization 0.00 μB per atom. Number 2: V 26.1 Å³/atom, total magnetization 0.07 μB per atom. Number 3: V 26.8 Å³/atom, total magnetization 0.00 μB per atom. Number 4: V 25.4 Å³/atom, total magnetization 0.00 μB per atom. Number 5: V 21.7 Å³/atom, total magnetization 0.00 μB per atom. Number 6: V 24.9 Å³/atom, total magnetization 0.00 μB per atom. Number 7: V 22.0 Å³/atom, total magnetization 0.00 μB per atom. Number 8: V 14.6 Å³/atom, total magnetization 0.00 μB per atom. Number 9: V 18.8 Å³/atom, total magnetization 0.00 μB per atom. Number 10: V 19.5 Å³/atom, total magnetization 0.21 μB per atom. Number 11: V 16.8 Å³/atom, total magnetization 0.00 μB per atom. Number 12: V 16.8 Å³/atom, total magnetization 0.00 μB per atom.